# SrAlBi2 | the Alexandria database | PBE-GGA | relaxed
data_SrAlBi2
_chemical_formula_sum 'Sr4 Al4 Bi8'
_cell_length_a 8.339
_cell_length_b 8.339
_cell_length_c 7.634
_cell_angle_alpha 90.00
_cell_angle_beta 90.00
_cell_angle_gamma 90.00
_symmetry_space_group_name_H-M 'I -4 2 d'
_symmetry_Int_Tables_number 122
_symmetry_space_group_name_Hall 'I -4 2bw'
loop_
_atom_site_label
_atom_site_fract_x
_atom_site_fract_y
_atom_site_fract_z
Sr1 0.000 0.000 0.000
Al1 0.000 0.000 0.500
Bi1 0.192 0.250 0.625
# DFT total energy = -3.59 eV/atom
# DOS(E_F) = 12.72 states/eV per cell
# Energy relative to the elements = -0.29 eV/atom

***

# SrAl2Bi2 | the Alexandria database | PBE-GGA | relaxed
data_SrAl2Bi2
_chemical_formula_sum 'Sr2 Al4 Bi4'
_cell_length_a 4.395
_cell_length_b 4.395
_cell_length_c 15.488
_cell_angle_alpha 90.00
_cell_angle_beta 90.00
_cell_angle_gamma 90.00
_symmetry_space_group_name_H-M 'I 4/m m m'
_symmetry_Int_Tables_number 139
_symmetry_space_group_name_Hall '-I 4 2'
loop_
_atom_site_label
_atom_site_fract_x
_atom_site_fract_y
_atom_site_fract_z
Sr1 0.000 0.000 0.000
Al1 0.000 0.500 0.250
Bi1 0.000 0.000 0.386
# DFT total energy = -3.49 eV/atom
# DOS(E_F) = 7.15 states/eV per cell
# Energy relative to the elements = -0.10 eV/atom

***

# SrAl2Bi2 | the Alexandria database | PBE-GGA | relaxed
data_SrAl2Bi2
_chemical_formula_sum 'Sr2 Al4 Bi4'
_cell_length_a 5.485
_cell_length_b 5.485
_cell_length_c 9.836
_cell_angle_alpha 90.00
_cell_angle_beta 90.00
_cell_angle_gamma 90.00
_symmetry_space_group_name_H-M 'I 4/m m m'
_symmetry_Int_Tables_number 139
_symmetry_space_group_name_Hall '-I 4 2'
loop_
_atom_site_label
_atom_site_fract_x
_atom_site_fract_y
_atom_site_fract_z
Sr1 0.000 0.000 0.000
Al1 0.000 0.000 0.368
Bi1 0.000 0.500 0.250
# DFT total energy = -3.60 eV/atom
# DOS(E_F) = 3.98 states/eV per cell
# Energy relative to the elements = -0.21 eV/atom

***

# Sr2AlBiTe5 | the Alexandria database | PBE-GGA | relaxed
data_Sr2AlBiTe5
_chemical_formula_sum 'Sr8 Al4 Bi4 Te20'
_cell_length_a 4.431
_cell_length_b 20.127
_cell_length_c 13.965
_cell_angle_alpha 90.00
_cell_angle_beta 90.00
_cell_angle_gamma 90.00
_symmetry_space_group_name_H-M 'C m c 21'
_symmetry_Int_Tables_number 36
_symmetry_space_group_name_Hall 'C 2c -2'
loop_
_atom_site_label
_atom_site_fract_x
_atom_site_fract_y
_atom_site_fract_z
Sr1 0.000 0.113 0.000
Sr2 0.000 0.124 0.643
Al1 0.000 0.440 0.747
Bi1 0.000 0.208 0.349
Te1 0.000 0.041 0.356
Te2 0.000 0.283 0.004
Te3 0.000 0.315 0.684
Te4 0.000 0.357 0.324
Te5 0.000 0.496 0.086
# DFT total energy = -3.92 eV/atom
# E_form (uncorrected) = -954 meV per atom

***

# SrAlV2Bi | the Alexandria database | PBE-GGA | relaxed
data_SrAlV2Bi
_chemical_formula_sum 'Sr1 Al1 V2 Bi1'
_cell_length_a 5.297
_cell_length_b 5.297
_cell_length_c 5.630
_cell_angle_alpha 90.00
_cell_angle_beta 90.00
_cell_angle_gamma 90.00
_symmetry_space_group_name_H-M 'P 4/m m m'
_symmetry_Int_Tables_number 123
_symmetry_space_group_name_Hall '-P 4 2'
loop_
_atom_site_label
_atom_site_fract_x
_atom_site_fract_y
_atom_site_fract_z
Sr1 0.000 0.000 0.000
Al1 0.500 0.500 0.000
V1 0.000 0.500 0.500
Bi1 0.500 0.500 0.500
# DFT total energy = -4.51 eV/atom
# DOS(E_F) = 5.66 states/eV per cell
# Energy relative to the elements = 1.00 eV/atom

***

# TaAlBi3 | the Alexandria database | PBE-GGA | relaxed
data_TaAlBi3
_chemical_formula_sum 'Ta1 Al1 Bi3'
_cell_length_a 5.341
_cell_length_b 5.341
_cell_length_c 5.341
_cell_angle_alpha 90.00
_cell_angle_beta 90.00
_cell_angle_gamma 90.00
_symmetry_space_group_name_H-M 'P m -3 m'
_symmetry_Int_Tables_number 221
_symmetry_space_group_name_Hall '-P 4 2 3'
loop_
_atom_site_label
_atom_site_fract_x
_atom_site_fract_y
_atom_site_fract_z
Ta1 0.000 0.000 0.000
Al1 0.500 0.500 0.500
Bi1 0.000 0.500 0.500
# DFT total energy = -4.14 eV/atom
# Offset from the most stable computed form = 616 meV per atom
# DOS(E_F) = 8.68 states/eV per cell
# Energy relative to the elements = 1.30 eV/atom

***

# TaAlBi3 | the Alexandria database | PBE-GGA | relaxed
data_TaAlBi3
_chemical_formula_sum 'Ta1 Al1 Bi3'
_cell_length_a 5.526
_cell_length_b 5.526
_cell_length_c 5.526
_cell_angle_alpha 90.00
_cell_angle_beta 90.00
_cell_angle_gamma 90.00
_symmetry_space_group_name_H-M 'P m -3 m'
_symmetry_Int_Tables_number 221
_symmetry_space_group_name_Hall '-P 4 2 3'
loop_
_atom_site_label
_atom_site_fract_x
_atom_site_fract_y
_atom_site_fract_z
Ta1 0.000 0.000 0.000
Al1 0.500 0.500 0.500
Bi1 0.000 0.000 0.500
# DFT total energy = -4.76 eV/atom
# Offset from the most stable computed form = 0 meV per atom
# DOS(E_F) = 3.76 states/eV per cell
# Energy relative to the elements = 0.69 eV/atom

***

# TaAl3Bi | the Alexandria database | PBE-GGA | relaxed
data_TaAl3Bi
_chemical_formula_sum 'Ta1 Al3 Bi1'
_cell_length_a 5.067
_cell_length_b 5.067
_cell_length_c 5.067
_cell_angle_alpha 90.00
_cell_angle_beta 90.00
_cell_angle_gamma 90.00
_symmetry_space_group_name_H-M 'P m -3 m'
_symmetry_Int_Tables_number 221
_symmetry_space_group_name_Hall '-P 4 2 3'
loop_
_atom_site_label
_atom_site_fract_x
_atom_site_fract_y
_atom_site_fract_z
Ta1 0.000 0.000 0.000
Al1 0.000 0.000 0.500
Bi1 0.500 0.500 0.500
# DFT total energy = -4.59 eV/atom
# Offset from the most stable computed form = 0 meV per atom
# DOS(E_F) = 3.38 states/eV per cell
# Energy relative to the elements = 0.80 eV/atom